VASP calculation (PBE-GGA) on a relaxed structure of Pm2SmDy2Ho4.

Cell: 9.509 9.509 9.560 Å, 115.22 115.22 21.81°
Positions (direct):
Pm 0.166 0.166 0.000
Pm 0.834 0.834 0.000
Sm 0.500 0.500 0.000
Dy 0.353 0.353 0.337
Dy 0.647 0.647 0.663
Ho 0.019 0.019 0.336
Ho 0.314 0.314 0.664
Ho 0.686 0.686 0.336
Ho 0.981 0.981 0.664

* uncorrected energy: -4.641 eV per atom
* symmetry: C2/m, No. 12
* DOS at the Fermi energy: 12.01 states/eV/f.u.
* density: 8.18 Mg/m³